Record 1
Compound: KSmOs
Source: OQMD
Functional: PBE
Structure: optimized geometry Values from VASP.

Values from the calculation:
Space group: F-43m, No. 216

Quantum ESPRESSO input file:
```
&SYSTEM
  ibrav = 0, nat = 12, ntyp = 3
/
ATOMIC_SPECIES
K 39.10 K.upf
Sm 150.36 Sm.upf
Os 190.23 Os.upf
CELL_PARAMETERS angstrom
7.000 0.000 0.000
0.000 7.000 0.000
0.000 0.000 7.000
ATOMIC_POSITIONS angstrom
K 0.000 0.000 0.000
K 0.000 3.500 3.500
K 3.500 0.000 3.500
K 3.500 3.500 0.000
Sm 0.000 0.000 3.500
Sm 0.000 3.500 0.000
Sm 3.500 0.000 0.000
Sm 3.500 3.500 3.500
Os 1.750 1.750 1.750
Os 1.750 5.250 5.250
Os 5.250 1.750 5.250
Os 5.250 5.250 1.750
```

***

Record 2
Compound: HoSe2Br2
Source: OQMD
Functional: PBE
Structure: optimized geometry Values from VASP.

Values from the calculation:
Space group: C2/m, No. 12

Quantum ESPRESSO input file:
```
&SYSTEM
  ibrav = 0, nat = 10, ntyp = 3
/
ATOMIC_SPECIES
Ho 164.93 Ho.upf
Se 78.96 Se.upf
Br 79.90 Br.upf
CELL_PARAMETERS angstrom
3.653 -6.832 0.000
3.653 6.832 0.000
-2.316 0.000 7.156
ATOMIC_POSITIONS angstrom
Ho 3.653 4.513 0.000
Ho 3.653 -4.513 0.000
Se 0.124 0.000 1.893
Se 1.847 0.000 0.394
Se 3.143 0.000 6.762
Se 4.866 0.000 5.262
Br 1.588 3.712 1.806
Br 3.401 3.712 5.350
Br 1.588 -3.712 1.806
Br 3.401 -3.712 5.350
```

***

Record 3
Compound: CoNiAgBi
Source: OQMD
Functional: PBE
Structure: optimized geometry Values from VASP.

Values from the calculation:
Space group: F-43m, No. 216

Quantum ESPRESSO input file:
```
&SYSTEM
  ibrav = 0, nat = 16, ntyp = 4
/
ATOMIC_SPECIES
Co 58.93 Co.upf
Ni 58.69 Ni.upf
Ag 107.87 Ag.upf
Bi 208.98 Bi.upf
CELL_PARAMETERS angstrom
6.359 0.000 0.000
0.000 6.359 0.000
0.000 0.000 6.359
ATOMIC_POSITIONS angstrom
Co 0.000 0.000 0.000
Co 0.000 3.180 3.180
Co 3.180 0.000 3.180
Co 3.180 3.180 0.000
Ni 0.000 0.000 3.180
Ni 0.000 3.180 0.000
Ni 3.180 0.000 0.000
Ni 3.180 3.180 3.180
Ag 1.590 1.590 1.590
Ag 1.590 4.769 4.769
Ag 4.769 1.590 4.769
Ag 4.769 4.769 1.590
Bi 1.590 1.590 4.769
Bi 1.590 4.769 1.590
Bi 4.769 1.590 1.590
Bi 4.769 4.769 4.769
```

***

no.,total DFT energy (no corrections) (eV/atom)
1,-4.67
2,-4.25
3,-4.57